# 1
Computed, not measured: an optimized crystal structure of AgSbTe3Pb at the PBE level of DFT.

Summary:
As for the volume: 185.1 Å³/cell. The calculation puts the size of the total moment at 0.000 μB per formula unit. The value obtained for the excess energy over the best structure of this formula in the dataset is 15 meV per atom. The formation energy from raw total energies comes out at -0.159 eV/atom. The space-group type is Imm2 (44).

a b c (Å): 7.6785 7.6785 7.6785
angles (deg): 146.45 131.70 60.09
Last column: nearest neighbours and their distance in Å.
Element x y z (fractional)
Ag  0.0000  0.0000  0.0000  6 Te 3.01-3.15
Sb  0.6765  0.6765  0.0000  6 Te 3.04-3.16
Te  0.1605  0.6605  0.5000  2 Ag 3.08, 2 Sb 3.15, 2 Pb 3.18
Te  0.5199  0.0199  0.5000  2 Sb 3.04, 2 Ag 3.15, 2 Pb 3.34
Te  0.8463  0.3463  0.5000  2 Ag 3.01, 2 Pb 3.15, 2 Sb 3.16
Pb  0.3317  0.3317  0.0000  6 Te 3.15-3.34

=====

# 2
Computed, not measured: an optimized crystal structure of CsK2Hg7Pt2 at the PBE level of DFT.

Summary:
As for the volume: 414.3 Å³/cell. The calculated formation energy comes out at -260.7 meV/atom. The calculation puts the size of the total moment at 0.000 μB per formula unit. The space-group type is C2/m (12).

a b c (Å): 5.4020 5.4020 14.6902
angles (deg): 100.46 100.46 89.87
Last column: nearest neighbours and their distance in Å.
Element x y z (fractional)
Cs  0.0000  0.0000  0.0000  12 Hg 3.82-3.90
K  0.1810  0.1810  0.3676  9 Hg 3.45-3.84
K  0.8190  0.8190  0.6324  9 Hg 3.45-3.84
Hg  0.0984  0.5981  0.1982  2 Pt 2.70
Hg  0.3095  0.3095  0.6108  1 Pt 2.77
Hg  0.4019  0.9016  0.8018  2 Pt 2.70
Hg  0.5000  0.5000  0.0000  2 Pt 2.76
Hg  0.5981  0.0984  0.1982  2 Pt 2.70
Hg  0.6905  0.6905  0.3892  1 Pt 2.77
Hg  0.9016  0.4019  0.8018  2 Pt 2.70
Pt  0.4036  0.4036  0.8057  6 Hg 2.70-2.77
Pt  0.5964  0.5964  0.1943  6 Hg 2.70-2.77

=====

# 3
Computed, not measured: an optimized crystal structure of PmNd3Sm4 at the PBE level of DFT.

Summary:
As for the volume: 555.7 Å³/cell. The calculated formation energy comes out at 31.8 meV/atom. The calculation puts the size of the total moment at 0.000 μB per formula unit. The value obtained for the excess energy over the best structure of this formula in the dataset is 17 meV per atom. The space-group type is Pmn2_1 (31).

a b c (Å): 11.8134 7.3730 6.3801
angles (deg): 90.00 90.00 90.00
Last column: nearest neighbours and their distance in Å.
Element x y z (fractional)
Pm  0.0000  0.1255  0.0000  6 Nd 3.64-3.69, 6 Sm 3.64-3.70
Pm  0.5000  0.8745  0.5000  6 Nd 3.64-3.69, 6 Sm 3.64-3.70
Nd  0.0000  0.8735  0.5002  4 Nd 3.64-3.65, 6 Sm 3.64-3.70, 2 Pm 3.69
Nd  0.2500  0.1259  0.3326  4 Nd 3.64-3.69, 2 Pm 3.64-3.65, 6 Sm 3.64-3.70
Nd  0.2500  0.8741  0.8326  4 Nd 3.64-3.69, 2 Pm 3.64-3.65, 6 Sm 3.64-3.70
Nd  0.5000  0.1265  0.0002  4 Nd 3.64-3.65, 6 Sm 3.64-3.70, 2 Pm 3.69
Nd  0.7500  0.1259  0.3326  4 Nd 3.64-3.69, 2 Pm 3.64-3.65, 6 Sm 3.64-3.70
Nd  0.7500  0.8741  0.8326  4 Nd 3.64-3.69, 2 Pm 3.64-3.65, 6 Sm 3.64-3.70
Sm  0.0000  0.3754  0.5003  6 Sm 3.63-3.68, 4 Nd 3.64-3.70, 2 Pm 3.68-3.69
Sm  0.0000  0.6234  0.0005  6 Sm 3.63-3.68, 4 Nd 3.64-3.69, 2 Pm 3.67-3.70
Sm  0.2496  0.3760  0.8321  6 Sm 3.63-3.68, 1 Pm 3.64, 5 Nd 3.64-3.70
Sm  0.2504  0.6240  0.3321  6 Sm 3.63-3.68, 1 Pm 3.64, 5 Nd 3.64-3.70
Sm  0.5000  0.3766  0.5005  6 Sm 3.63-3.68, 4 Nd 3.64-3.69, 2 Pm 3.67-3.70
Sm  0.5000  0.6246  0.0003  6 Sm 3.63-3.68, 4 Nd 3.64-3.70, 2 Pm 3.68-3.69
Sm  0.7504  0.3760  0.8321  6 Sm 3.63-3.68, 1 Pm 3.64, 5 Nd 3.64-3.70
Sm  0.7496  0.6240  0.3321  6 Sm 3.63-3.68, 1 Pm 3.64, 5 Nd 3.64-3.70

=====

# 4
Computed, not measured: an optimized crystal structure of TcSnSb2 at the PBE level of DFT.

Summary:
As for the volume: 257.3 Å³/cell. The calculation puts the size of the total moment at 0.000 μB per formula unit. The formation energy from raw total energies comes out at 0.436 eV/atom. The space-group type is I-42d (122).

a b c (Å): 7.7799 7.7799 7.7799
angles (deg): 131.68 131.68 70.73
Last column: nearest neighbours and their distance in Å.
Element x y z (fractional)
Tc  0.0000  0.0000  0.0000  4 Sb 2.58
Tc  0.7500  0.2500  0.5000  4 Sb 2.58
Sn  0.2500  0.7500  0.5000  4 Sb 2.96
Sn  0.5000  0.5000  0.0000  4 Sb 2.96
Sb  0.0727  0.6250  0.9477  2 Tc 2.58
Sb  0.3750  0.3227  0.4477  2 Tc 2.58
Sb  0.6773  0.1250  0.0523  2 Tc 2.58
Sb  0.8750  0.9273  0.5523  2 Tc 2.58